(1)
LaBeNb2: optimized geometry, PBE.

Unit cell a=6.630 b=6.630 c=6.630 alpha=90.00 beta=90.00 gamma=90.00
Atoms (fractional coordinates):
1 La 0.000 0.000 0.000
2 La 0.000 0.500 0.500
3 La 0.500 0.000 0.500
4 La 0.500 0.500 0.000
5 Be 0.000 0.000 0.500
6 Be 0.000 0.500 0.000
7 Be 0.500 0.000 0.000
8 Be 0.500 0.500 0.500
9 Nb 0.250 0.250 0.250
10 Nb 0.250 0.250 0.750
11 Nb 0.250 0.750 0.250
12 Nb 0.250 0.750 0.750
13 Nb 0.750 0.250 0.250
14 Nb 0.750 0.250 0.750
15 Nb 0.750 0.750 0.250
16 Nb 0.750 0.750 0.750

Formation energy from the elements (kJ/mol of atoms): 62
Energy (eV/atom): -6.56


(2)
La2BeNb: optimized geometry, PBE.

Unit cell a=7.319 b=7.319 c=7.319 alpha=90.00 beta=90.00 gamma=90.00
Atoms (fractional coordinates):
1 La 0.250 0.250 0.250
2 La 0.250 0.250 0.750
3 La 0.250 0.750 0.250
4 La 0.250 0.750 0.750
5 La 0.750 0.250 0.250
6 La 0.750 0.250 0.750
7 La 0.750 0.750 0.250
8 La 0.750 0.750 0.750
9 Be 0.000 0.000 0.000
10 Be 0.000 0.500 0.500
11 Be 0.500 0.000 0.500
12 Be 0.500 0.500 0.000
13 Nb 0.000 0.000 0.500
14 Nb 0.000 0.500 0.000
15 Nb 0.500 0.000 0.000
16 Nb 0.500 0.500 0.500

Formation energy from the elements (kJ/mol of atoms): 47
Energy (eV/atom): -5.43


(3)
LaBe2Nb: optimized geometry, PBE.

Unit cell a=7.448 b=7.448 c=5.530 alpha=90.00 beta=90.00 gamma=90.00
Atoms (fractional coordinates):
1 La 0.000 0.000 0.000
2 La 0.000 0.500 0.250
3 La 0.500 0.000 0.750
4 La 0.500 0.500 0.500
5 Be 0.198 0.750 0.625
6 Be 0.250 0.198 0.375
7 Be 0.250 0.302 0.875
8 Be 0.302 0.750 0.125
9 Be 0.698 0.250 0.125
10 Be 0.750 0.698 0.875
11 Be 0.750 0.802 0.375
12 Be 0.802 0.250 0.625
13 Nb 0.000 0.000 0.500
14 Nb 0.000 0.500 0.750
15 Nb 0.500 0.000 0.250
16 Nb 0.500 0.500 0.000

Formation energy from the elements (kJ/mol of atoms): 63
Energy (eV/atom): -4.96


(4)
La3BeNb: optimized geometry, PBE.

Unit cell a=5.524 b=5.524 c=5.524 alpha=90.00 beta=90.00 gamma=90.00
Atoms (fractional coordinates):
1 La 0.000 0.000 0.500
2 La 0.000 0.500 0.000
3 La 0.500 0.000 0.000
4 Be 0.500 0.500 0.500
5 Nb 0.000 0.000 0.000

Formation energy from the elements (kJ/mol of atoms): 71
Energy (eV/atom): -4.98


(5)
LaBeNb2: optimized geometry, PBE.

Unit cell a=4.112 b=4.112 c=19.456 alpha=90.00 beta=90.00 gamma=90.00
Atoms (fractional coordinates):
1 La 0.000 0.000 0.000
2 La 0.000 0.500 0.250
3 La 0.500 0.000 0.750
4 La 0.500 0.500 0.500
5 Be 0.000 0.000 0.500
6 Be 0.000 0.500 0.750
7 Be 0.500 0.000 0.250
8 Be 0.500 0.500 0.000
9 Nb 0.224 0.250 0.625
10 Nb 0.250 0.724 0.875
11 Nb 0.250 0.776 0.375
12 Nb 0.276 0.250 0.125
13 Nb 0.724 0.750 0.125
14 Nb 0.750 0.224 0.375
15 Nb 0.750 0.276 0.875
16 Nb 0.776 0.750 0.625

Formation energy from the elements (kJ/mol of atoms): 65
Energy (eV/atom): -6.53


(6)
LaBe2Nb: optimized geometry, PBE.

Unit cell a=6.568 b=6.568 c=6.568 alpha=90.00 beta=90.00 gamma=90.00
Atoms (fractional coordinates):
1 La 0.000 0.000 0.000
2 La 0.000 0.500 0.500
3 La 0.500 0.000 0.500
4 La 0.500 0.500 0.000
5 Be 0.250 0.250 0.250
6 Be 0.250 0.250 0.750
7 Be 0.250 0.750 0.250
8 Be 0.250 0.750 0.750
9 Be 0.750 0.250 0.250
10 Be 0.750 0.250 0.750
11 Be 0.750 0.750 0.250
12 Be 0.750 0.750 0.750
13 Nb 0.000 0.000 0.500
14 Nb 0.000 0.500 0.000
15 Nb 0.500 0.000 0.000
16 Nb 0.500 0.500 0.500

Formation energy from the elements (kJ/mol of atoms): 43
Energy (eV/atom): -5.17